# MgWCl2 | Alexandria | PBE-GGA | relaxed
data_MgWCl2
_chemical_formula_sum 'Mg1 W1 Cl2'
_cell_length_a 3.032
_cell_length_b 3.032
_cell_length_c 8.648
_cell_angle_alpha 90.00
_cell_angle_beta 90.00
_cell_angle_gamma 90.00
_space_group_name_H-M_alt 'P 4 m m'
_space_group_IT_number 99
loop_
_space_group_symop_operation_xyz
'x,y,z'
'-y,x,z'
'-x,-y,z'
'y,-x,z'
'-x,y,z'
'y,x,z'
'x,-y,z'
'-y,-x,z'
loop_
_atom_site_label
_atom_site_fract_x
_atom_site_fract_y
_atom_site_fract_z
Mg1 0.000 0.000 0.000
W1 0.500 0.500 0.257
Cl1 0.000 0.000 0.419
Cl2 0.500 0.500 0.829
# ΔE_f (raw): -0.2005 eV/atom
# Magnetic moment: 0.00 μB per formula unit
# Crystal system: tetragonal
# VASP energy: -19.043 eV for the cell shown